No. 1
The following is a PBE calculation of an optimized crystal structure of YMnInBr6, from the Alexandria database.

Space group: P-31c (163)
Formation energy without anion corrections, eV per atom: -1.245

Lattice parameters (Å, degrees): 7.144 7.144 14.538 90.00 90.00 120.00
Sites, in units of the cell vectors:
Y: 0.333 0.667 0.250
Y: 0.667 0.333 0.750
Mn: 0.333 0.667 0.750
Mn: 0.667 0.333 0.250
In: 0.000 0.000 0.000
In: 0.000 0.000 0.500
Br: 0.012 0.375 0.641
Br: 0.012 0.637 0.859
Br: 0.363 0.375 0.859
Br: 0.363 0.988 0.641
Br: 0.375 0.012 0.141
Br: 0.375 0.363 0.359
Br: 0.625 0.637 0.641
Br: 0.625 0.988 0.859
Br: 0.637 0.012 0.359
Br: 0.637 0.625 0.141
Br: 0.988 0.363 0.141
Br: 0.988 0.625 0.359

No. 2
The following is a PBE calculation of an optimized crystal structure of Nd2MgGe2Rh5, from the Alexandria database.

Space group: P4/mbm (127)
Energy of formation from the pure elements, eV per atom: -0.705

Lattice parameters (Å, degrees): 10.058 10.058 3.579 90.00 90.00 90.00
Sites, in units of the cell vectors:
Nd: 0.175 0.325 0.000
Nd: 0.325 0.825 0.000
Nd: 0.675 0.175 0.000
Nd: 0.825 0.675 0.000
Mg: 0.000 0.000 0.000
Mg: 0.500 0.500 0.000
Ge: 0.124 0.624 0.000
Ge: 0.376 0.124 0.000
Ge: 0.624 0.876 0.000
Ge: 0.876 0.376 0.000
Rh: 0.000 0.500 0.500
Rh: 0.067 0.787 0.500
Rh: 0.213 0.067 0.500
Rh: 0.287 0.567 0.500
Rh: 0.433 0.287 0.500
Rh: 0.500 0.000 0.500
Rh: 0.567 0.713 0.500
Rh: 0.713 0.433 0.500
Rh: 0.787 0.933 0.500
Rh: 0.933 0.213 0.500

No. 3
The following is a PBE calculation of an optimized crystal structure of Ca3RuCl, from the Alexandria database.

Space group: Pm-3m (221)
Formation energy without anion corrections, eV per atom: -0.228
E above lowest polymorph, meV/atom: 0

Lattice parameters (Å, degrees): 5.449 5.449 5.449 90.00 90.00 90.00
Sites, in units of the cell vectors:
Ca: 0.000 0.000 0.500
Ca: 0.000 0.500 0.000
Ca: 0.500 0.000 0.000
Ru: 0.000 0.000 0.000
Cl: 0.500 0.500 0.500

The records above give, respectively, V values of 35.696 18.105 32.351 Å³ per atom.
The records above give, respectively, calculated density values of 3.8 8.9 2.6 Mg/m³.
The records above give, respectively, electronic total energy values of -79.23 -128.34 -18.27 eV for the cell shown.